[1]
5
Lattice="5.166 0.000 0.000 0.000 5.166 0.000 0.000 0.000 5.610" Properties=species:S:1:pos:R:3 comment="ScAl2Sn2 | Alexandria | GGA-PBE | optimized geometry" e_form_ev_per_fu=3.716 polymorph_energy_mev_per_atom=839.7 space_group="No. 123" pbc="T T T"
Sc 2.583 2.583 2.805
Sn 0.000 0.000 0.000
Sn 0.000 0.000 2.805
Al 0.000 2.583 0.000
Al 2.583 0.000 0.000


[2]
5
Lattice="-2.917 2.411 -0.981 -2.404 -3.061 -0.376 -4.583 0.295 6.563" Properties=species:S:1:pos:R:3 comment="ScAl2Sn2 | Alexandria | GGA-PBE | optimized geometry" e_form_ev_per_fu=-0.125 polymorph_energy_mev_per_atom=71.5 space_group="No. 139" pbc="T T T"
Sc 0.000 0.000 0.000
Sn -3.050 -0.199 0.790
Sn -6.853 -0.155 4.416
Al -5.080 1.191 2.452
Al -4.823 -1.545 2.754


[3]
7
Lattice="4.911 0.000 0.000 0.000 4.911 0.000 2.456 2.456 7.603" Properties=species:S:1:pos:R:3 comment="Sc4AlSn2 | Alexandria | GGA-PBE | optimized geometry" e_form_ev_per_fu=-0.958 space_group="No. 139" pbc="T T T"
Sc 4.911 4.911 2.678
Sc 2.456 2.456 4.925
Sc 0.000 2.456 0.000
Sc 2.456 0.000 0.000
Sn 4.911 4.911 5.604
Sn 2.456 2.456 1.998
Al 0.000 0.000 0.000


[4]
24
Lattice="4.416 0.000 0.000 0.000 10.583 0.000 0.000 0.000 11.559" Properties=species:S:1:pos:R:3 comment="Sc3AlSn2 | Alexandria | GGA-PBE | optimized geometry" e_form_ev_per_fu=-3.002 space_group="No. 62" pbc="T T T"
Sc 1.104 3.913 0.449
Sc 3.312 6.669 11.110
Sc 3.312 9.205 5.330
Sc 1.104 1.378 6.228
Sc 1.104 7.255 2.527
Sc 3.312 3.327 9.031
Sc 3.312 1.964 3.252
Sc 1.104 8.619 8.307
Sc 1.104 4.385 4.056
Sc 3.312 6.197 7.503
Sc 3.312 9.677 1.724
Sc 1.104 0.906 9.835
Al 1.104 1.237 1.517
Al 3.312 9.345 10.041
Al 3.312 6.529 4.262
Al 1.104 4.054 7.297
Sn 1.104 7.151 5.748
Sn 3.312 3.432 5.810
Sn 3.312 1.860 0.031
Sn 1.104 8.723 11.528
Sn 1.104 10.297 3.745
Sn 3.312 0.285 7.813
Sn 3.312 5.006 2.034
Sn 1.104 5.576 9.525


[5]
10
Lattice="-3.533 -2.423 -2.943 -2.614 -3.301 5.855 -2.676 6.379 -2.039" Properties=species:S:1:pos:R:3 comment="Sc3AlSn | Alexandria | GGA-PBE | optimized geometry" e_form_ev_per_fu=-1.096 polymorph_energy_mev_per_atom=0.0 space_group="No. 194" pbc="T T T"
Sc -3.509 -2.052 3.607
Sc -5.314 2.707 -2.734
Sc -4.647 0.661 2.739
Sc -4.176 -0.006 -1.866
Sc -2.398 -0.648 1.116
Sc -6.426 1.302 -0.244
Al 0.000 0.000 0.000
Al -1.767 -1.212 -1.472
Sn -3.539 2.546 -0.143
Sn -5.284 -1.891 1.015


[6]
10
Lattice="7.270 0.000 0.000 0.000 7.270 0.000 0.000 0.000 4.259" Properties=species:S:1:pos:R:3 comment="Sc2AlSn2 | Alexandria | GGA-PBE | optimized geometry" e_form_ev_per_fu=-1.992 polymorph_energy_mev_per_atom=0.0 space_group="No. 127" pbc="T T T"
Sc 1.225 4.860 2.130
Sc 4.860 6.045 2.130
Sc 6.045 2.410 2.130
Sc 2.410 1.225 2.130
Sn 2.618 6.253 0.000
Sn 6.253 4.652 0.000
Sn 4.652 1.017 0.000
Sn 1.017 2.618 0.000
Al 0.000 0.000 0.000
Al 3.635 3.635 0.000